No. 1
YHf3: optimized geometry, PBE.

Structure (extended XYZ):
```
4
Lattice="4.590 0.000 0.000 0.000 4.590 0.000 0.000 0.000 4.590" Properties=species:S:1:pos:R:3 pbc="T T T"
Y 0.000 0.000 0.000
Hf 0.000 2.295 2.295
Hf 2.295 0.000 2.295
Hf 2.295 2.295 0.000
```

Calculated values
E_form: 0.19 eV per atom
E above lowest polymorph: 96 meV per atom
M_tot: 0.00 μB/atom

---

No. 2
Na2CdHgSb: optimized geometry, PBE.

Structure (extended XYZ):
```
5
Lattice="5.947 0.000 0.000 0.000 5.947 0.000 0.000 0.000 5.855" Properties=species:S:1:pos:R:3 pbc="T T T"
Na 0.000 2.974 0.000
Na 2.974 0.000 0.000
Cd 0.000 0.000 2.928
Hg 2.974 2.974 2.928
Sb 0.000 0.000 0.000
```

Calculated values
Formation energy (no corrections): -0.6 eV per formula unit
M_tot: 0.00 μB/atom

---

No. 3
Mg2TaPt: optimized geometry, PBE.

Structure (extended XYZ):
```
4
Lattice="2.952 0.000 0.000 0.000 2.952 0.000 0.000 0.000 8.419" Properties=species:S:1:pos:R:3 pbc="T T T"
Mg 0.000 0.000 0.000
Mg 1.476 1.476 2.518
Ta 1.476 1.476 6.231
Pt 0.000 0.000 4.335
```

Calculated values
E_form: -0.28 eV per atom
E above lowest polymorph: 0 meV per atom
M_tot: 0.00 μB/atom

---

No. 4
HoTmHgRh: optimized geometry, PBE.

Structure (extended XYZ):
```
4
Lattice="0.000 3.539 3.539 3.539 0.000 3.539 3.539 3.539 0.000" Properties=species:S:1:pos:R:3 pbc="T T T"
Ho 0.000 0.000 0.000
Tm 3.539 3.539 3.539
Hg 1.769 1.769 1.769
Rh 5.308 5.308 5.308
```

Calculated values
E_form: -0.64 eV per atom
E above lowest polymorph: 87 meV per atom
M_tot: 0.00 μB/atom

---

No. 5
LiTb3Rh: optimized geometry, PBE.

Structure (extended XYZ):
```
5
Lattice="5.417 0.000 0.000 0.000 5.417 0.000 0.000 0.000 5.417" Properties=species:S:1:pos:R:3 pbc="T T T"
Li 0.000 0.000 0.000
Tb 0.000 2.708 2.708
Tb 2.708 0.000 2.708
Tb 2.708 2.708 0.000
Rh 2.708 2.708 2.708
```

Calculated values
E_form: -0.20 eV per atom
E above lowest polymorph: 120 meV per atom
M_tot: 0.00 μB/atom

---

No. 6
BeZnRh2: optimized geometry, PBE.

Structure (extended XYZ):
```
4
Lattice="-1.792 1.792 4.011 1.792 -1.792 4.011 1.792 1.792 -4.011" Properties=species:S:1:pos:R:3 pbc="T T T"
Be 0.000 0.000 0.000
Zn 0.000 1.792 2.005
Rh 1.792 0.000 2.005
Rh 0.000 0.000 4.011
```

Calculated values
E_form: -0.19 eV per atom
E above lowest polymorph: 273 meV per atom
M_tot: 0.00 μB/atom

---

Question: M_tot of number 2 (Na2CdHgSb)?
Answer: 0.00 μB/atom

---

Question: M_tot of number 3 (Mg2TaPt)?
Answer: 0.00 μB/atom

---

Question: What is the M_tot in the third record?
Answer: 0.00 μB/atom